No. 1
The following is a PBE calculation of an optimized crystal structure of SrHRhBr2, from Alexandria.

**Final energy**: -3.87 eV per atom
**D(E_F)**: 1.54 states/eV/cell

Unit cell a=5.2590 b=5.2590 c=3.7041 alpha=90.00 beta=90.00 gamma=90.00
Space group P4/mmm (No. 123)
Asymmetric unit:
Sr: 0.0000 0.0000 0.0000
H: 0.5000 0.5000 0.0000
Rh: 0.5000 0.5000 0.5000
Br: 0.0000 0.5000 0.5000

***

No. 2
The following is a PBE calculation of an optimized crystal structure of Y2InGa2, from Alexandria.

**Energy relative to the lowest polymorph listed for this composition**: 0.528 eV per atom
**D(E_F)**: 9.11 states/eV/cell
**Energy relative to the elements**: -0.118 eV per atom

Unit cell a=4.8701 b=4.8701 c=11.4609 alpha=90.00 beta=90.00 gamma=90.00
Space group I4/mmm (No. 139)
Asymmetric unit:
Y: 0.0000 0.5000 0.2500
In: 0.0000 0.0000 0.0000
Ga: 0.0000 0.0000 0.3978

***

No. 3
The following is a PBE calculation of an optimized crystal structure of Er5CoPb2, from Alexandria.

**Energy relative to the lowest polymorph listed for this composition**: 0.414 eV per atom
**D(E_F)**: 25.04 states/eV/cell
**Energy relative to the elements**: 0.017 eV per atom

Unit cell a=5.2381 b=16.6250 c=12.4047 alpha=90.00 beta=90.00 gamma=90.00
Space group Cmcm (No. 63)
Asymmetric unit:
Er: 0.0000 0.0853 0.1097
Er: 0.0000 0.2860 0.7500
Er: 0.0000 0.2975 0.0761
Co: 0.0000 0.1976 0.2500
Pb: 0.0000 0.1052 0.6286

***

No. 4
The following is a PBE calculation of an optimized crystal structure of MnZnCoMo, from Alexandria.

**D(E_F)**: 3.70 states/eV/cell
**Energy relative to the elements**: 0.080 eV per atom

Unit cell a=5.8604 b=5.8604 c=5.8604 alpha=90.00 beta=90.00 gamma=90.00
Space group F-43m (No. 216)
Asymmetric unit:
Mn: 0.0000 0.0000 0.0000
Zn: 0.2500 0.2500 0.2500
Co: 0.0000 0.0000 0.5000
Mo: 0.2500 0.2500 0.7500

***

No. 5
The following is a PBE calculation of an optimized crystal structure of ZrTi2Nb4, from Alexandria.

**D(E_F)**: 18.49 states/eV/cell
**Energy relative to the elements**: 0.125 eV per atom

Unit cell a=3.4176 b=23.8810 c=3.2517 alpha=90.00 beta=90.00 gamma=90.00
Space group Cmmm (No. 65)
Asymmetric unit:
Zr: 0.0000 0.0000 0.0000
Ti: 0.0000 0.2936 0.5000
Nb: 0.0000 0.1451 0.0000
Nb: 0.0000 0.4206 0.5000

***

No. 6
The following is a PBE calculation of an optimized crystal structure of LaGdI, from Alexandria.

**Energy relative to the lowest polymorph listed for this composition**: 0.000 eV per atom
**D(E_F)**: 9.92 states/eV/cell
**Formation energy (no corrections)**: -0.496 eV/atom

Unit cell a=3.7647 b=3.7647 c=14.4312 alpha=90.00 beta=90.00 gamma=90.00
Space group I4mm (No. 107)
Asymmetric unit:
La: 0.0000 0.0000 0.0000
Gd: 0.0000 0.0000 0.3206
I: 0.0000 0.0000 0.6658